(1)
KLaFe2: optimized geometry, GGA-PBE.

```
KLaFe2
1.0
-2.5366 -0.1290 -4.0615
4.0537 -0.4139 -2.5186
0.2371 -9.0587 -2.6853
K Fe La
2 4 2
direct
0.5000 0.5000 0.0000 K
0.2500 0.7500 0.5000 K
0.8748 0.1250 0.2500 Fe
0.8752 0.6250 0.2500 Fe
0.3750 0.1252 0.7500 Fe
0.8750 0.1248 0.7500 Fe
0.0000 0.0000 0.0000 La
0.7500 0.2500 0.5000 La
```

Results
The energy of formation is 1.05 eV per atom. Its space-group type is I4_1/amd, No. 141. The energy above the most stable polymorph in this dataset is 2.51 eV/f.u.

***

(2)
KLaFe2: optimized geometry, GGA-PBE.

```
KLaFe2
1.0
-2.5466 2.4027 3.9176
-3.8541 -0.9786 3.4342
2.2262 -1.9277 7.4627
Fe K La
2 1 1
direct
0.9897 0.9897 0.8434 Fe
0.5103 0.5103 0.6566 Fe
0.2500 0.2500 0.2500 K
0.7500 0.7500 0.7500 La
```

Results
The energy of formation is 0.65 eV per atom. Its space-group type is C2/m, No. 12. The energy above the most stable polymorph in this dataset is 0.88 eV/f.u.

***

| no. | spin magnetization (Bohr magnetons per cell) |
| --- | --- |
| 1 | 8.002 |
| 2 | 4.025 |